Density functional theory data (PBE with a Hubbard U) for a relaxed KCo3Cu4F12 crystal.

Geometry as POSCAR:
```
KCo3Cu4F12
1.0
7.017 -0.177 -0.246
-1.862 6.768 -0.246
-1.862 -2.381 6.340
K Co Cu F
1 3 4 12
direct
0.000 0.000 0.000
0.584 0.416 0.000
0.416 0.000 0.584
0.000 0.584 0.416
0.878 0.122 0.500
0.122 0.500 0.878
0.500 0.878 0.122
0.500 0.500 0.500
0.500 0.327 0.673
0.912 0.500 0.088
0.088 0.912 0.500
0.500 0.088 0.912
0.355 0.992 0.273
0.273 0.355 0.992
0.992 0.273 0.355
0.645 0.727 0.008
0.008 0.645 0.727
0.727 0.008 0.645
0.673 0.500 0.327
0.327 0.673 0.500
```

Summary:
Total energy: -90.32 eV/cell
Density: 3.99 g cm⁻³
DOS(E_F): 0.43 states/eV per atom